No. 1
# HfMgBSe2 (GGA-PBEsol, optimized geometry)
data_HfMgBSe2
_chemical_formula_sum 'Hf1 Mg1 B1 Se2'
_space_group_name_H-M_alt 'P 4/m m m'
_space_group_IT_number 123
_space_group_name_Hall '-P 4 2'
_cell_length_a 5.1052
_cell_length_b 5.1052
_cell_length_c 4.4668
_cell_angle_alpha 90.00
_cell_angle_beta 90.00
_cell_angle_gamma 90.00
loop_
_atom_site_label
_atom_site_type_symbol
_atom_site_fract_x
_atom_site_fract_y
_atom_site_fract_z
Hf1 Hf 0.0000 0.0000 0.0000
Mg1 Mg 0.5000 0.5000 0.5000
B1 B 0.0000 0.0000 0.5000
Se1 Se 0.0000 0.5000 0.0000
# Volume ... 116.42 Å³/f.u.
# Total magnetization ... 0.00 μB per atom
# Uncorrected formation energy ... 0.13 eV per atom
# Total energy ... -5.2548 eV per atom

No. 2
# HfMnB2 (GGA-PBEsol, optimized geometry)
data_HfMnB2
_chemical_formula_sum 'Hf4 Mn4 B8'
_space_group_name_H-M_alt 'I 41/a m d'
_space_group_IT_number 141
_cell_length_a 3.7538
_cell_length_b 3.7538
_cell_length_c 13.4163
_cell_angle_alpha 90.00
_cell_angle_beta 90.00
_cell_angle_gamma 90.00
loop_
_space_group_symop_operation_xyz
'x,y,z'
'-x,-y,-z'
'-y+1/4,x+3/4,z+1/4'
'y+1/4,-x+3/4,-z+1/4'
'-x+1/2,-y,z+1/2'
'x+1/2,y,-z+1/2'
'y+1/4,-x+1/4,z+3/4'
'-y+1/4,x+1/4,-z+3/4'
'x,-y,-z'
'-x,y,z'
'-y+1/4,-x+1/4,-z+3/4'
'y+1/4,x+1/4,z+3/4'
'-x+1/2,y,-z+1/2'
'x+1/2,-y,z+1/2'
'y+1/4,x+3/4,-z+1/4'
'-y+1/4,-x+3/4,z+1/4'
'x+1/2,y+1/2,z+1/2'
'-x+1/2,-y+1/2,-z+1/2'
'-y+3/4,x+1/4,z+3/4'
'y+3/4,-x+1/4,-z+3/4'
'-x,-y+1/2,z'
'x,y+1/2,-z'
'y+3/4,-x+3/4,z+1/4'
'-y+3/4,x+3/4,-z+1/4'
'x+1/2,-y+1/2,-z+1/2'
'-x+1/2,y+1/2,z+1/2'
'-y+3/4,-x+3/4,-z+1/4'
'y+3/4,x+3/4,z+1/4'
'-x,y+1/2,-z'
'x,-y+1/2,z'
'y+3/4,x+1/4,-z+3/4'
'-y+3/4,-x+1/4,z+3/4'
loop_
_atom_site_label
_atom_site_type_symbol
_atom_site_fract_x
_atom_site_fract_y
_atom_site_fract_z
Hf1 Hf 0.0000 0.2500 0.3750
Mn1 Mn 0.0000 0.2500 0.8750
B1 B 0.0000 0.0000 0.0000
# Volume ... 47.26 Å³/f.u.
# Total magnetization ... 0.12 μB per atom
# ΔE_f ... -0.066 eV/atom
# Total energy ... -8.6399 eV per atom

No. 3
# Hf2B2Mo (GGA-PBEsol, optimized geometry)
data_Hf2B2Mo
_chemical_formula_sum 'Hf4 B4 Mo2'
_space_group_name_H-M_alt 'P 4/m b m'
_space_group_IT_number 127
_space_group_name_Hall '-P 4 2ab'
_cell_length_a 6.2372
_cell_length_b 6.2372
_cell_length_c 3.3479
_cell_angle_alpha 90.00
_cell_angle_beta 90.00
_cell_angle_gamma 90.00
loop_
_atom_site_label
_atom_site_type_symbol
_atom_site_fract_x
_atom_site_fract_y
_atom_site_fract_z
Hf1 Hf 0.1839 0.3161 0.0000
B1 B 0.1042 0.6042 0.5000
Mo1 Mo 0.0000 0.0000 0.5000
# Volume ... 65.12 Å³/f.u.
# Total magnetization ... 0.00 μB per atom
# ΔE_f ... -0.678 eV/atom
# Total energy ... -10.0393 eV per atom